Below is LiFePO4 after structural relaxation, with properties calculated at the PBE with a Hubbard U level.

The calculation puts the volume at 294 Å³/cell. The density is 3.57 g/cm3. The calculation puts the density of states at the Fermi level at 0.000 states/eV per atom. The value obtained for the polymorph energy (0 for the lowest one) is 14.8 meV/atom.

It has space group Cmcm (No. 63), with a = 5.614 Å, b = 8.378 Å, c = 6.241 Å, α = 90.00°, β = 90.00° and γ = 90.00°. Symmetry generates all atoms from Li at (0.000, 0.164, 0.250), Fe at (0.000, 0.500, 0.000), P at (0.000, 0.150, 0.750), O at (0.000, 0.254, 0.546) and O at (0.222, 0.036, 0.750).